This record from Alexandria describes a geometry-optimized TlSnTe3 structure. The functional is GGA-PBE.

abc: 5.7755 5.7755 5.7755
angles: 90.00 90.00 90.00
Closest atoms and distances in Å follow each position.
Sites, in units of the cell vectors:
Te  0.5000  0.0000  0.0000  2 Sn 2.89
Te  0.0000  0.5000  0.0000  2 Sn 2.89
Sn  0.0000  0.0000  0.0000  6 Te 2.89
Te  0.0000  0.0000  0.5000  2 Sn 2.89
Tl  0.5000  0.5000  0.5000  12 Te 4.08

The density of states at the Fermi level comes out at 0.911 states/eV per atom. Its uncorrected formation energy is 0.141 eV/atom. As for the calculated total energy: -3.0182 eV/atom. The energy above the most stable polymorph in this dataset comes out at 6.17 kcal/mol of atoms. The spin magnetization comes out at 0.0 μB per formula unit. The space group is No. 221.

***

This record from Alexandria describes a geometry-optimized Tl2SnTe3 structure. The functional is GGA-PBE.

abc: 8.5944 8.7691 22.6381
angles: 90.00 90.00 90.00
Closest atoms and distances in Å follow each position.
Sites, in units of the cell vectors:
Sn  0.1839  0.0100  0.8347  4 Te 2.79-2.87
Te  0.3945  0.1926  0.8962  1 Sn 2.79
Te  0.1055  0.6926  0.1038  1 Sn 2.79
Te  0.1055  0.6926  0.3962  1 Sn 2.79
Te  0.4888  0.3222  0.4106  1 Sn 2.80
Te  0.3539  0.8319  0.7500  2 Sn 2.87
Tl  0.6888  0.9838  0.6674  8 Te 3.44-3.83, 2 Tl 3.65-3.74
Sn  0.1839  0.0100  0.6653  4 Te 2.79-2.87
Tl  0.2365  0.4620  0.5084  4 Te 3.33-3.54, 1 Tl 3.65
Sn  0.8161  0.9900  0.1653  4 Te 2.79-2.87
Te  0.9888  0.1778  0.0894  1 Sn 2.80
Tl  0.7365  0.0380  0.5084  4 Te 3.33-3.54, 1 Tl 3.65
Tl  0.7635  0.5380  0.0084  4 Te 3.33-3.54, 1 Tl 3.65
Te  0.0075  0.1790  0.7500  2 Sn 2.86
Tl  0.7365  0.0380  0.9916  4 Te 3.33-3.54, 1 Tl 3.65
Te  0.8945  0.3074  0.6038  1 Sn 2.79
Tl  0.7635  0.5380  0.4916  4 Te 3.33-3.54, 1 Tl 3.65
Tl  0.1888  0.5162  0.8326  8 Te 3.44-3.83, 2 Tl 3.65-3.74
Te  0.9888  0.1778  0.4106  1 Sn 2.80
Te  0.6055  0.8074  0.1038  1 Sn 2.79
Te  0.0112  0.8222  0.9106  1 Sn 2.80
Te  0.4925  0.6790  0.2500  2 Sn 2.86
Te  0.3945  0.1926  0.6038  1 Sn 2.79
Te  0.9925  0.8210  0.2500  2 Sn 2.86
Sn  0.3161  0.5100  0.1653  4 Te 2.79-2.87
Tl  0.3112  0.0162  0.3326  8 Te 3.44-3.83, 2 Tl 3.65-3.74
Te  0.1461  0.3319  0.2500  2 Sn 2.87
Te  0.4888  0.3222  0.0894  1 Sn 2.80
Te  0.0112  0.8222  0.5894  1 Sn 2.80
Tl  0.3112  0.0162  0.1674  8 Te 3.44-3.83, 2 Tl 3.65-3.74
Te  0.8539  0.6681  0.7500  2 Sn 2.87
Te  0.5112  0.6778  0.5894  1 Sn 2.80
Sn  0.8161  0.9900  0.3347  4 Te 2.79-2.87
Te  0.8945  0.3074  0.8962  1 Sn 2.79
Tl  0.8112  0.4838  0.1674  8 Te 3.44-3.83, 2 Tl 3.65-3.74
Sn  0.6839  0.4900  0.6653  4 Te 2.79-2.87
Tl  0.8112  0.4838  0.3326  8 Te 3.44-3.83, 2 Tl 3.65-3.74
Tl  0.6888  0.9838  0.8326  8 Te 3.44-3.83, 2 Tl 3.65-3.74
Tl  0.2365  0.4620  0.9916  4 Te 3.33-3.54, 1 Tl 3.65
Te  0.6055  0.8074  0.3962  1 Sn 2.79
Te  0.6461  0.1681  0.2500  2 Sn 2.87
Te  0.5112  0.6778  0.9106  1 Sn 2.80
Tl  0.2635  0.9620  0.0084  4 Te 3.33-3.54, 1 Tl 3.65
Tl  0.2635  0.9620  0.4916  4 Te 3.33-3.54, 1 Tl 3.65
Te  0.5075  0.3210  0.7500  2 Sn 2.86
Sn  0.6839  0.4900  0.8347  4 Te 2.79-2.87
Tl  0.1888  0.5162  0.6674  8 Te 3.44-3.83, 2 Tl 3.65-3.74
Sn  0.3161  0.5100  0.3347  4 Te 2.79-2.87

Its uncorrected formation energy is -0.261 eV/atom. As for the calculated total energy: -3.2880 eV/atom. The energy above the most stable polymorph in this dataset comes out at 0.00 kcal/mol of atoms. The spin magnetization comes out at 0.0 μB per formula unit. The space group is No. 62.

***

This record from Alexandria describes a geometry-optimized TlSnTe3 structure. The functional is GGA-PBE.

abc: 7.2543 6.3371 8.7019
angles: 90.00 105.43 90.00
Closest atoms and distances in Å follow each position.
Sites, in units of the cell vectors:
Te  0.9886  0.7500  0.2217  1 Sn 2.86
Te  0.0114  0.2500  0.7783  1 Sn 2.86
Sn  0.6027  0.2500  0.6829  5 Te 2.86-3.18
Tl  0.9609  0.2500  0.1441  5 Te 3.23-3.44
Te  0.4886  0.2500  0.9865  1 Sn 2.97, 3 Te 3.15-3.18
Tl  0.0391  0.7500  0.8559  5 Te 3.23-3.44
Sn  0.3973  0.7500  0.3171  5 Te 2.86-3.18
Te  0.4406  0.2500  0.3359  3 Sn 2.93-3.18, 1 Te 3.15
Te  0.5594  0.7500  0.6641  3 Sn 2.93-3.18, 1 Te 3.15
Te  0.5114  0.7500  0.0135  1 Sn 2.97, 3 Te 3.15-3.18

The density of states at the Fermi level comes out at 0.486 states/eV per atom. Its uncorrected formation energy is -0.127 eV/atom. As for the calculated total energy: -3.2858 eV/atom. The energy above the most stable polymorph in this dataset comes out at 0.00 kcal/mol of atoms. The spin magnetization comes out at 0.0 μB per formula unit. The space group is No. 11.

***

This record from Alexandria describes a geometry-optimized Tl2SnTe structure. The functional is GGA-PBE.

abc: 4.1118 4.1118 10.5265
angles: 78.74 78.74 60.00
Closest atoms and distances in Å follow each position.
Sites, in units of the cell vectors:
Sn  0.0000  0.0000  0.0000  2 Tl 3.08
Tl  0.1002  0.1002  0.6994  1 Sn 3.08, 3 Te 3.13
Tl  0.8998  0.8998  0.3006  1 Sn 3.08, 3 Te 3.13
Te  0.5000  0.5000  0.5000  6 Tl 3.13

The density of states at the Fermi level comes out at 0.421 states/eV per atom. Its uncorrected formation energy is 0.110 eV/atom. As for the calculated total energy: -2.8589 eV/atom. The energy above the most stable polymorph in this dataset comes out at 4.45 kcal/mol of atoms. The spin magnetization comes out at 0.0 μB per formula unit. The space group is No. 166.

***

This record from Alexandria describes a geometry-optimized Tl2Sn2Te structure. The functional is GGA-PBE.

abc: 8.1645 8.1645 4.7751
angles: 90.00 90.00 90.00
Closest atoms and distances in Å follow each position.
Sites, in units of the cell vectors:
Sn  0.3664  0.8664  0.0000  1 Sn 3.08, 2 Te 3.18, 2 Tl 3.27
Tl  0.8276  0.3276  0.5000  6 Sn 3.27-3.47
Tl  0.1724  0.6724  0.5000  6 Sn 3.27-3.47
Te  0.0000  0.0000  0.0000  4 Sn 3.18
Te  0.5000  0.5000  0.0000  4 Sn 3.18
Sn  0.8664  0.6336  0.0000  1 Sn 3.08, 2 Te 3.18, 2 Tl 3.27
Tl  0.3276  0.1724  0.5000  6 Sn 3.27-3.47
Sn  0.1336  0.3664  0.0000  1 Sn 3.08, 2 Te 3.18, 2 Tl 3.27
Tl  0.6724  0.8276  0.5000  6 Sn 3.27-3.47
Sn  0.6336  0.1336  0.0000  1 Sn 3.08, 2 Te 3.18, 2 Tl 3.27

The density of states at the Fermi level comes out at 0.645 states/eV per atom. Its uncorrected formation energy is 0.008 eV/atom. As for the calculated total energy: -3.1682 eV/atom. The energy above the most stable polymorph in this dataset comes out at 0.00 kcal/mol of atoms. The spin magnetization comes out at 0.0 μB per formula unit. The space group is No. 127.

***

This record from Alexandria describes a geometry-optimized TlSn2Te2 structure. The functional is GGA-PBE.

abc: 4.5419 4.5419 8.6860
angles: 74.84 74.84 90.00
Closest atoms and distances in Å follow each position.
Sites, in units of the cell vectors:
Sn  0.7500  0.2500  0.5000  4 Sn 3.21, 4 Te 3.37
Te  0.4044  0.4044  0.1913  1 Te 3.09, 4 Sn 3.37
Tl  0.0000  0.0000  0.0000  8 Te 3.56
Sn  0.2500  0.7500  0.5000  4 Sn 3.21, 4 Te 3.37
Te  0.5956  0.5956  0.8087  1 Te 3.09, 4 Sn 3.37

The density of states at the Fermi level comes out at 0.439 states/eV per atom. Its uncorrected formation energy is -0.047 eV/atom. As for the calculated total energy: -3.3784 eV/atom. The energy above the most stable polymorph in this dataset comes out at 2.19 kcal/mol of atoms. The spin magnetization comes out at 0.0 μB per formula unit. The space group is No. 139.

***

This record from Alexandria describes a geometry-optimized Tm2TlSn3Te6 structure. The functional is GGA-PBE.

abc: 4.3890 9.5222 9.9827
angles: 101.06 102.70 90.00
Closest atoms and distances in Å follow each position.
Sites, in units of the cell vectors:
Te  0.0124  0.2707  0.0248  1 Tm 3.00, 3 Sn 3.14-3.32, 2 Tl 3.36
Te  0.6679  0.5647  0.3358  3 Tm 3.12, 3 Sn 3.21-3.37
Sn  0.8391  0.1704  0.6781  6 Te 3.07-3.42
Te  0.9876  0.7293  0.9752  1 Tm 3.00, 3 Sn 3.14-3.32, 2 Tl 3.36
Tm  0.8303  0.6677  0.6606  6 Te 3.00-3.12
Te  0.3321  0.4353  0.6642  3 Tm 3.12, 3 Sn 3.21-3.37
Tm  0.1697  0.3323  0.3394  6 Te 3.00-3.12
Te  0.3217  0.8905  0.6434  3 Sn 3.07-3.42, 2 Tm 3.08, 1 Tl 3.42
Tl  0.5000  0.0000  0.0000  6 Te 3.36-3.42
Te  0.6783  0.1095  0.3566  3 Sn 3.07-3.42, 2 Tm 3.08, 1 Tl 3.42
Sn  0.1609  0.8296  0.3219  6 Te 3.07-3.42
Sn  0.5000  0.5000  0.0000  6 Te 3.14-3.21

The density of states at the Fermi level comes out at 0.348 states/eV per atom. Its uncorrected formation energy is -0.616 eV/atom. As for the calculated total energy: -4.1305 eV/atom. The spin magnetization comes out at 0.0 μB per formula unit. The space group is No. 12.

***

This record from Alexandria describes a geometry-optimized UTl2SnTe4 structure. The functional is GGA-PBE.

abc: 4.5199 7.9512 8.3775
angles: 107.60 90.00 90.00
Closest atoms and distances in Å follow each position.
Sites, in units of the cell vectors:
Te  0.5000  0.2523  0.2144  1 U 3.04, 2 Sn 3.19
Tl  0.5000  0.0000  0.5000  6 Te 3.53-3.56
Sn  0.0000  0.0000  0.0000  6 Te 3.19
U  0.5000  0.5000  0.0000  6 Te 3.04-3.10
Te  0.5000  0.7477  0.7856  1 U 3.04, 2 Sn 3.19
Tl  0.0000  0.5000  0.5000  6 Te 3.43-3.44
Te  0.0000  0.2720  0.7878  2 U 3.10, 1 Sn 3.19, 1 Tl 3.43
Te  0.0000  0.7280  0.2122  2 U 3.10, 1 Sn 3.19, 1 Tl 3.43

The density of states at the Fermi level comes out at 0.644 states/eV per atom. Its uncorrected formation energy is -0.450 eV/atom. As for the calculated total energy: -4.5242 eV/atom. The spin magnetization comes out at 2.0 μB per formula unit. The space group is No. 10.

***

This record from Alexandria describes a geometry-optimized U2Tl2SnTe6 structure. The functional is GGA-PBE.

abc: 7.7596 7.7596 8.4633
angles: 98.45 98.45 119.84
Closest atoms and distances in Å follow each position.
Sites, in units of the cell vectors:
U  0.3330  0.6670  0.5000  6 Te 3.06-3.07
U  0.6670  0.3330  0.5000  6 Te 3.06-3.07
Te  0.4163  0.0695  0.7137  2 U 3.07, 1 Sn 3.20
Te  0.9305  0.5837  0.2863  2 U 3.07, 1 Sn 3.20
Te  0.7184  0.7184  0.7119  2 U 3.06, 1 Sn 3.21
Sn  0.0000  0.0000  0.5000  6 Te 3.20-3.21
Tl  0.8376  0.1624  0.0000  6 Te 3.45-3.52
Te  0.5837  0.9305  0.2863  2 U 3.07, 1 Sn 3.20
Te  0.2816  0.2816  0.2881  2 U 3.06, 1 Sn 3.21
Tl  0.1624  0.8376  0.0000  6 Te 3.45-3.52
Te  0.0695  0.4163  0.7137  2 U 3.07, 1 Sn 3.20

The density of states at the Fermi level comes out at 0.876 states/eV per atom. Its uncorrected formation energy is -0.502 eV/atom. As for the calculated total energy: -5.0621 eV/atom. The spin magnetization comes out at 4.0 μB per formula unit. The space group is No. 12.

***

This record from Alexandria describes a geometry-optimized UTl3Sn2Te6 structure. The functional is GGA-PBE.

abc: 7.9059 7.9059 8.3298
angles: 99.07 99.07 119.76
Closest atoms and distances in Å follow each position.
Sites, in units of the cell vectors:
Tl  0.5000  0.5000  0.5000  6 Te 3.44-3.57
Te  0.0699  0.3854  0.2113  1 U 3.00, 2 Sn 3.19
Te  0.6146  0.9301  0.7887  1 U 3.00, 2 Sn 3.19
U  0.0000  0.0000  0.0000  6 Te 3.00-3.02
Te  0.2418  0.2418  0.7828  1 U 3.02, 2 Sn 3.21
Tl  0.1700  0.8300  0.5000  6 Te 3.43-3.57
Tl  0.8300  0.1700  0.5000  6 Te 3.43-3.57
Te  0.3854  0.0699  0.2113  1 U 3.00, 2 Sn 3.19
Te  0.9301  0.6146  0.7887  1 U 3.00, 2 Sn 3.19
Sn  0.3339  0.6661  0.0000  6 Te 3.19-3.21
Sn  0.6661  0.3339  0.0000  6 Te 3.19-3.21
Te  0.7582  0.7582  0.2172  1 U 3.02, 2 Sn 3.21

The density of states at the Fermi level comes out at 0.039 states/eV per atom. Its uncorrected formation energy is -0.424 eV/atom. As for the calculated total energy: -4.1944 eV/atom. The spin magnetization comes out at 1.0 μB per formula unit. The space group is No. 12.